Record 1
Tb2PmNd6Ho3: optimized geometry, GGA-PBE.

a b c (Å): 6.285 6.285 11.908
angles (deg): 95.03 95.03 120.00
Atoms (fractional coordinates):
Tb (0.333, 0.667, 0.000)
Tb (0.667, 0.333, 0.000)
Pm (0.000, 0.000, 0.000)
Nd (0.916, 0.582, 0.748)
Nd (0.751, 0.751, 0.252)
Nd (0.084, 0.418, 0.252)
Nd (0.582, 0.916, 0.748)
Nd (0.249, 0.249, 0.748)
Nd (0.418, 0.084, 0.252)
Ho (0.167, 0.833, 0.500)
Ho (0.833, 0.167, 0.500)
Ho (0.500, 0.500, 0.500)

Computed properties:
Calculated formation energy in eV/atom: 0.012
M_tot in μB/atom: 0.000



Record 2
Si3PtN: optimized geometry, GGA-PBE.

a b c (Å): 4.630 4.630 4.630
angles (deg): 90.00 90.00 90.00
Atoms (fractional coordinates):
Si (0.000, 0.500, 0.000)
Si (0.000, 0.000, 0.500)
Si (0.500, 0.000, 0.000)
Pt (0.000, 0.000, 0.000)
N (0.500, 0.500, 0.500)

Computed properties:
Offset from the most stable computed form in meV per atom: 1103
M_tot in μB/atom: 0.000
Energy relative to the elements, uncorrected in eV/f.u.: 7.09



Record 3
Ti4Hg: optimized geometry, GGA-PBE.

a b c (Å): 2.810 4.799 7.142
angles (deg): 109.63 101.30 90.00
Atoms (fractional coordinates):
Ti (0.397, 0.397, 0.794)
Ti (0.603, 0.603, 0.206)
Ti (0.285, 0.786, 0.572)
Ti (0.715, 0.214, 0.428)
Hg (0.000, 0.000, 0.000)

Computed properties:
Offset from the most stable computed form in meV per atom: 0
Calculated formation energy in eV/atom: 0.013
M_tot in μB/atom: 0.000



Record 4
U8As5Se3: optimized geometry, GGA-PBE.

a b c (Å): 8.324 8.324 8.005
angles (deg): 58.67 58.67 60.00
Atoms (fractional coordinates):
U (0.250, 0.250, 0.751)
U (0.250, 0.748, 0.751)
U (0.748, 0.250, 0.751)
U (0.749, 0.749, 0.753)
U (0.750, 0.750, 0.249)
U (0.750, 0.252, 0.249)
U (0.252, 0.750, 0.249)
U (0.251, 0.251, 0.247)
As (0.500, 0.000, 0.000)
As (0.500, 0.500, 0.000)
As (0.000, 0.000, 0.000)
As (0.000, 0.500, 0.000)
As (0.500, 0.500, 0.500)
Se (0.500, 0.000, 0.500)
Se (0.000, 0.000, 0.500)
Se (0.000, 0.500, 0.500)

Computed properties:
M_tot in μB/atom: 1.302
Energy relative to the elements, uncorrected in eV/f.u.: -13.35



Record 5
Li7Ag2: optimized geometry, GGA-PBE.

a b c (Å): 5.219 5.219 14.486
angles (deg): 79.62 79.62 60.00
Atoms (fractional coordinates):
Li (0.500, 0.500, 0.500)
Li (0.274, 0.274, 0.179)
Li (0.726, 0.726, 0.821)
Li (0.395, 0.395, 0.816)
Li (0.605, 0.605, 0.184)
Li (0.500, 0.000, 0.000)
Li (0.000, 0.500, 0.000)
Li (0.500, 0.500, 0.000)
Li (0.624, 0.624, 0.645)
Li (0.624, 0.107, 0.645)
Li (0.107, 0.624, 0.645)
Li (0.376, 0.376, 0.355)
Li (0.376, 0.893, 0.355)
Li (0.893, 0.376, 0.355)
Ag (0.085, 0.085, 0.745)
Ag (0.915, 0.915, 0.255)
Ag (0.155, 0.155, 0.535)
Ag (0.845, 0.845, 0.465)

Computed properties:
Offset from the most stable computed form in meV per atom: 152
Calculated formation energy in eV/atom: 0.058
M_tot in μB/atom: 0.000



Record 6
TcPd2Rh: optimized geometry, GGA-PBE.

a b c (Å): 7.063 7.063 5.641
angles (deg): 51.24 51.24 90.00
Atoms (fractional coordinates):
Rh (0.000, 0.000, 0.000)
Rh (0.750, 0.250, 0.500)
Tc (0.500, 0.500, 0.000)
Tc (0.250, 0.750, 0.500)
Pd (0.612, 0.125, 0.250)
Pd (0.138, 0.625, 0.250)
Pd (0.375, 0.388, 0.750)
Pd (0.875, 0.862, 0.750)

Computed properties:
Offset from the most stable computed form in meV per atom: 320
Calculated formation energy in eV/atom: 0.647
M_tot in μB/atom: 0.255



Record 7
Tb6Pm3Nd2: optimized geometry, GGA-PBE.

a b c (Å): 6.198 6.209 11.762
angles (deg): 84.90 79.75 60.06
Atoms (fractional coordinates):
Tb (0.417, 0.667, 0.750)
Tb (0.750, 0.000, 0.750)
Tb (0.084, 0.333, 0.750)
Tb (0.250, 0.000, 0.250)
Tb (0.583, 0.333, 0.250)
Tb (0.916, 0.667, 0.250)
Pm (0.000, 0.000, 0.000)
Pm (0.336, 0.329, 0.000)
Pm (0.664, 0.671, 0.000)
Nd (0.167, 0.667, 0.500)
Nd (0.833, 0.333, 0.500)

Computed properties:
Offset from the most stable computed form in meV per atom: 0
Calculated formation energy in eV/atom: 0.183
M_tot in μB/atom: 0.000



Record 8
AcErCdHg: optimized geometry, GGA-PBE.

a b c (Å): 5.522 5.522 5.522
angles (deg): 60.00 60.00 60.00
Atoms (fractional coordinates):
Ac (0.000, 0.000, 0.000)
Cd (0.750, 0.750, 0.750)
Hg (0.250, 0.250, 0.250)
Er (0.500, 0.500, 0.500)

Computed properties:
Offset from the most stable computed form in meV per atom: 44
Calculated formation energy in eV/atom: -0.327
M_tot in μB/atom: 0.087



Record 9
Ti3ZnAs: optimized geometry, GGA-PBE.

a b c (Å): 4.679 4.679 4.679
angles (deg): 90.00 90.00 90.00
Atoms (fractional coordinates):
As (0.000, 0.000, 0.000)
Zn (0.500, 0.500, 0.500)
Ti (0.000, 0.500, 0.000)
Ti (0.000, 0.000, 0.500)
Ti (0.500, 0.000, 0.000)

Computed properties:
Offset from the most stable computed form in meV per atom: 0
Calculated formation energy in eV/atom: 0.161
M_tot in μB/atom: 0.000



Record 10
Tb2YErS4: optimized geometry, GGA-PBE.

a b c (Å): 3.876 6.783 6.798
angles (deg): 109.08 90.00 90.00
Atoms (fractional coordinates):
Tb (0.500, 0.000, 0.500)
Tb (0.000, 0.500, 0.500)
Y (0.000, 0.000, 0.000)
Er (0.500, 0.500, 0.000)
S (0.500, 0.251, 0.247)
S (0.500, 0.749, 0.753)
S (0.000, 0.254, 0.755)
S (0.000, 0.746, 0.245)

Computed properties:
M_tot in μB/atom: 0.000
Energy relative to the elements, uncorrected in eV/f.u.: -15.92



Record 11
Li5InCl8: optimized geometry, GGA-PBE.

a b c (Å): 7.553 7.553 7.553
angles (deg): 60.00 60.00 60.00
Atoms (fractional coordinates):
Li (0.000, 0.000, 0.000)
Li (0.643, 0.643, 0.072)
Li (0.643, 0.643, 0.643)
Li (0.072, 0.643, 0.643)
Li (0.643, 0.072, 0.643)
In (0.250, 0.250, 0.250)
Cl (0.380, 0.859, 0.380)
Cl (0.859, 0.380, 0.380)
Cl (0.380, 0.380, 0.380)
Cl (0.380, 0.380, 0.859)
Cl (0.870, 0.870, 0.391)
Cl (0.391, 0.870, 0.870)
Cl (0.870, 0.870, 0.870)
Cl (0.870, 0.391, 0.870)

Computed properties:
Offset from the most stable computed form in meV per atom: 0
M_tot in μB/atom: 0.000
Energy relative to the elements, uncorrected in eV/f.u.: -21.96



Record 12
SrAcCu: optimized geometry, GGA-PBE.

a b c (Å): 7.228 4.351 4.351
angles (deg): 120.00 90.00 90.00
Atoms (fractional coordinates):
Sr (0.750, 0.667, 0.333)
Ac (0.241, 0.333, 0.667)
Cu (0.009, 0.000, 0.000)

Computed properties:
Offset from the most stable computed form in meV per atom: 134
Calculated formation energy in eV/atom: 0.061
M_tot in μB/atom: 0.000



Record 13
Pr2InS: optimized geometry, GGA-PBE.

a b c (Å): 3.994 3.994 8.725
angles (deg): 76.77 76.77 60.00
Atoms (fractional coordinates):
Pr (0.067, 0.067, 0.799)
Pr (0.266, 0.266, 0.202)
In (0.499, 0.499, 0.502)
S (0.667, 0.667, 0.998)

Computed properties:
Offset from the most stable computed form in meV per atom: 67
M_tot in μB/atom: 0.000
Energy relative to the elements, uncorrected in eV/f.u.: -4.56



Record 14
NaLaErIn: optimized geometry, GGA-PBE.

a b c (Å): 5.513 5.513 5.513
angles (deg): 60.00 60.00 60.00
Atoms (fractional coordinates):
Na (0.000, 0.000, 0.000)
La (0.250, 0.250, 0.250)
In (0.500, 0.500, 0.500)
Er (0.750, 0.750, 0.750)

Computed properties:
Calculated formation energy in eV/atom: -0.140
M_tot in μB/atom: 0.000



Record 15
TlHgAsO4: optimized geometry, GGA-PBE.

a b c (Å): 6.055 6.055 5.878
angles (deg): 121.00 121.00 90.00
Atoms (fractional coordinates):
Tl (0.000, 0.000, 0.000)
Hg (0.500, 0.500, 0.000)
As (0.250, 0.750, 0.500)
O (0.227, 0.063, 0.733)
O (0.330, 0.773, 0.267)
O (0.506, 0.670, 0.733)
O (0.937, 0.494, 0.267)

Computed properties:
M_tot in μB/atom: 0.000
Energy relative to the elements, uncorrected in eV/f.u.: -6.26